--- a ---
A plane-wave DFT calculation with PBE was carried out for CdAsPb3 after structural relaxation.

Unit cell a=5.654 b=5.654 c=5.654 alpha=90.00 beta=90.00 gamma=90.00
Space group Pm-3m (No. 221)
One atom of each set of equivalent atoms:
Cd  0.000  0.000  0.000 (multiplicity 1)
As  0.500  0.500  0.500 (multiplicity 1)
Pb  0.000  0.500  0.500 (multiplicity 3)

--- b ---
A plane-wave DFT calculation with PBE was carried out for CdAsPb3 after structural relaxation.

Unit cell a=5.580 b=5.580 c=5.580 alpha=90.00 beta=90.00 gamma=90.00
Space group Pm-3m (No. 221)
One atom of each set of equivalent atoms:
Cd  0.000  0.000  0.000 (multiplicity 1)
As  0.500  0.500  0.500 (multiplicity 1)
Pb  0.000  0.000  0.500 (multiplicity 3)

Name the least stable of them. b.

--- a ---
A plane-wave DFT calculation with PBE was carried out for CdAsPd4 after structural relaxation.

Unit cell a=7.281 b=3.096 c=17.466 alpha=90.00 beta=90.00 gamma=90.00
Space group Pnma (No. 62)
One atom of each set of equivalent atoms:
Cd  0.198  0.250  0.187 (multiplicity 4)
As  0.245  0.750  0.451 (multiplicity 4)
Pd  0.008  0.750  0.292 (multiplicity 4)
Pd  0.041  0.750  0.568 (multiplicity 4)
Pd  0.101  0.750  0.056 (multiplicity 4)
Pd  0.177  0.750  0.843 (multiplicity 4)

--- b ---
A plane-wave DFT calculation with PBE was carried out for CdAsPd4 after structural relaxation.

Unit cell a=5.351 b=5.486 c=7.614 alpha=80.80 beta=69.46 gamma=89.90
Space group P-1 (No. 2)
One atom of each set of equivalent atoms:
Cd  0.104  0.250  0.000 (multiplicity 2)
As  0.000  0.500  0.500 (multiplicity 1)
As  0.500  0.000  0.500 (multiplicity 1)
Pd  0.045  0.082  0.659 (multiplicity 2)
Pd  0.296  0.583  0.659 (multiplicity 2)
Pd  0.320  0.570  0.170 (multiplicity 2)
Pd  0.490  0.930  0.830 (multiplicity 2)

Name the least stable of them. b.

--- a ---
A plane-wave DFT calculation with PBE was carried out for CdAs2Pd4 after structural relaxation.

Unit cell a=17.326 b=4.148 c=6.628 alpha=90.00 beta=90.00 gamma=90.00
Space group Pnma (No. 62)
One atom of each set of equivalent atoms:
Cd  0.145  0.250  0.120 (multiplicity 4)
As  0.045  0.750  0.753 (multiplicity 4)
As  0.207  0.250  0.625 (multiplicity 4)
Pd  0.036  0.750  0.133 (multiplicity 4)
Pd  0.065  0.250  0.510 (multiplicity 4)
Pd  0.187  0.750  0.397 (multiplicity 4)
Pd  0.190  0.750  0.852 (multiplicity 4)

--- b ---
A plane-wave DFT calculation with PBE was carried out for CdAs2Pd4 after structural relaxation.

Unit cell a=4.546 b=7.872 c=13.178 alpha=90.00 beta=90.00 gamma=90.00
Space group Cmcm (No. 63)
One atom of each set of equivalent atoms:
Cd  0.000  0.001  0.250 (multiplicity 4)
As  0.000  0.334  0.063 (multiplicity 8)
Pd  0.000  0.000  0.000 (multiplicity 4)
Pd  0.000  0.333  0.636 (multiplicity 8)
Pd  0.000  0.334  0.250 (multiplicity 4)

Name the least stable of them. b.

--- a ---
A plane-wave DFT calculation with PBE was carried out for CdAs2Pd2 after structural relaxation.

Unit cell a=7.852 b=7.852 c=2.944 alpha=90.00 beta=90.00 gamma=90.00
Space group P4/mbm (No. 127)
One atom of each set of equivalent atoms:
Cd  0.000  0.000  0.000 (multiplicity 2)
As  0.133  0.367  0.000 (multiplicity 4)
Pd  0.165  0.665  0.500 (multiplicity 4)

--- b ---
A plane-wave DFT calculation with PBE was carried out for CdAs2Pd2 after structural relaxation.

Unit cell a=4.510 b=4.510 c=9.539 alpha=90.00 beta=90.00 gamma=90.00
Space group I4/mmm (No. 139)
One atom of each set of equivalent atoms:
Cd  0.000  0.000  0.000 (multiplicity 2)
As  0.000  0.000  0.370 (multiplicity 4)
Pd  0.000  0.500  0.250 (multiplicity 4)

--- c ---
A plane-wave DFT calculation with PBE was carried out for CdAs2Pd2 after structural relaxation.

Unit cell a=7.467 b=7.467 c=3.254 alpha=90.00 beta=90.00 gamma=90.00
Space group P4/mbm (No. 127)
One atom of each set of equivalent atoms:
Cd  0.000  0.000  0.000 (multiplicity 2)
As  0.156  0.344  0.500 (multiplicity 4)
Pd  0.136  0.636  0.000 (multiplicity 4)

Name the least stable of them. a.

--- a ---
A plane-wave DFT calculation with PBE was carried out for Cd3AsPd4 after structural relaxation.

Unit cell a=5.721 b=9.342 c=5.529 alpha=90.00 beta=90.00 gamma=90.00
Space group Imm2 (No. 44)
One atom of each set of equivalent atoms:
Cd  0.000  0.000  0.000 (multiplicity 2)
Cd  0.000  0.283  0.752 (multiplicity 4)
As  0.000  0.500  0.348 (multiplicity 2)
Pd  0.000  0.244  0.260 (multiplicity 4)
Pd  0.235  0.000  0.501 (multiplicity 4)

--- b ---
A plane-wave DFT calculation with PBE was carried out for Cd3AsPd4 after structural relaxation.

Unit cell a=13.623 b=4.642 c=4.642 alpha=90.00 beta=109.85 gamma=90.00
Space group C2/m (No. 12)
One atom of each set of equivalent atoms:
Cd  0.000  0.000  0.000 (multiplicity 2)
Cd  0.249  0.000  0.249 (multiplicity 4)
As  0.000  0.500  0.500 (multiplicity 2)
Pd  0.118  0.000  0.618 (multiplicity 4)
Pd  0.118  0.500  0.118 (multiplicity 4)

Name the least stable of them. a.

--- a ---
A plane-wave DFT calculation with PBE was carried out for CdSn2AsPd after structural relaxation.

Unit cell a=7.735 b=4.485 c=8.004 alpha=90.00 beta=90.58 gamma=90.00
Space group Cm (No. 8)
One atom of each set of equivalent atoms:
Cd  0.000  0.000  0.000 (multiplicity 2)
Sn  0.164  0.500  0.387 (multiplicity 2)
Sn  0.499  0.500  0.623 (multiplicity 2)
As  0.167  0.500  0.059 (multiplicity 2)
Pd  0.331  0.000  0.504 (multiplicity 2)

--- b ---
A plane-wave DFT calculation with PBE was carried out for CdSn2AsPd after structural relaxation.

Unit cell a=3.167 b=6.138 c=6.276 alpha=96.01 beta=103.84 gamma=90.24
Space group P1 (No. 1)
One atom of each set of equivalent atoms:
Cd  0.000  0.000  0.000 (multiplicity 1)
Sn  0.256  0.952  0.535 (multiplicity 1)
Sn  0.764  0.406  0.532 (multiplicity 1)
As  0.987  0.444  0.983 (multiplicity 1)
Pd  0.601  0.697  0.216 (multiplicity 1)

--- c ---
A plane-wave DFT calculation with PBE was carried out for CdSn2AsPd after structural relaxation.

Unit cell a=4.447 b=4.515 c=7.339 alpha=84.77 beta=72.88 gamma=60.52
Space group P1 (No. 1)
One atom of each set of equivalent atoms:
Cd  0.000  0.000  0.000 (multiplicity 1)
Sn  0.653  0.240  0.446 (multiplicity 1)
Sn  0.833  0.601  0.732 (multiplicity 1)
As  0.570  0.708  0.153 (multiplicity 1)
Pd  0.241  0.924  0.588 (multiplicity 1)

Name the least stable of them. b.

--- a ---
A plane-wave DFT calculation with PBE was carried out for CdSn2AsPd after structural relaxation.

Unit cell a=7.620 b=4.420 c=7.565 alpha=90.00 beta=110.08 gamma=90.00
Space group Cm (No. 8)
One atom of each set of equivalent atoms:
Cd  0.000  0.000  0.000 (multiplicity 2)
Sn  0.063  0.500  0.691 (multiplicity 2)
Sn  0.308  0.500  0.411 (multiplicity 2)
As  0.398  0.000  0.191 (multiplicity 2)
Pd  0.274  0.000  0.823 (multiplicity 2)

--- b ---
A plane-wave DFT calculation with PBE was carried out for CdSn2AsPd after structural relaxation.

Unit cell a=4.134 b=4.973 c=6.712 alpha=84.10 beta=72.13 gamma=65.57
Space group P1 (No. 1)
One atom of each set of equivalent atoms:
Cd  0.000  0.000  0.000 (multiplicity 1)
Sn  0.308  0.982  0.403 (multiplicity 1)
Sn  0.886  0.552  0.680 (multiplicity 1)
As  0.257  0.409  0.078 (multiplicity 1)
Pd  0.577  0.146  0.701 (multiplicity 1)

--- c ---
A plane-wave DFT calculation with PBE was carried out for CdSn2AsPd after structural relaxation.

Unit cell a=7.765 b=4.500 c=8.023 alpha=90.00 beta=109.92 gamma=90.00
Space group Cm (No. 8)
One atom of each set of equivalent atoms:
Cd  0.000  0.000  0.000 (multiplicity 2)
Sn  0.021  0.500  0.552 (multiplicity 2)
Sn  0.265  0.500  0.301 (multiplicity 2)
As  0.137  0.500  0.916 (multiplicity 2)
Pd  0.138  0.000  0.412 (multiplicity 2)

Name the least stable of them. b.

--- a ---
A plane-wave DFT calculation with PBE was carried out for CdSn2AsPd after structural relaxation.

Unit cell a=4.393 b=4.480 c=6.094 alpha=90.00 beta=90.68 gamma=90.00
Space group Pm (No. 6)
One atom of each set of equivalent atoms:
Cd  0.000  0.000  0.000 (multiplicity 1)
Sn  0.160  0.000  0.541 (multiplicity 1)
Sn  0.522  0.500  0.993 (multiplicity 1)
As  0.556  0.500  0.522 (multiplicity 1)
Pd  0.030  0.500  0.278 (multiplicity 1)

--- b ---
A plane-wave DFT calculation with PBE was carried out for CdSn2AsPd after structural relaxation.

Unit cell a=6.111 b=3.150 c=6.780 alpha=90.00 beta=116.03 gamma=90.00
Space group Pm (No. 6)
One atom of each set of equivalent atoms:
Cd  0.000  0.000  0.000 (multiplicity 1)
Sn  0.309  0.000  0.532 (multiplicity 1)
Sn  0.486  0.000  0.018 (multiplicity 1)
As  0.764  0.000  0.547 (multiplicity 1)
Pd  0.888  0.500  0.303 (multiplicity 1)

--- c ---
A plane-wave DFT calculation with PBE was carried out for CdSn2AsPd after structural relaxation.

Unit cell a=3.150 b=3.560 c=10.315 alpha=90.00 beta=98.78 gamma=90.00
Space group Pm (No. 6)
One atom of each set of equivalent atoms:
Cd  0.000  0.000  0.000 (multiplicity 1)
Sn  0.702  0.000  0.396 (multiplicity 1)
Sn  0.867  0.000  0.720 (multiplicity 1)
As  0.582  0.500  0.165 (multiplicity 1)
Pd  0.290  0.500  0.568 (multiplicity 1)

Name the least stable of them. c.